i.
The following is a DFT calculation (PBE-GGA) of PrAgH after structural relaxation.

Computed properties:
The value obtained for the calculated volume is 20.39 Å³ per atom. For the density of states at the Fermi level, the calculation gives 0.6652 states/eV per atom. Its total magnetization is 0.15 Bohr magnetons per cell.

a = 5.6643 Å, b = 5.6643 Å, c = 5.6643 Å
α = 144.43°, β = 144.43°, γ = 51.19°
With the nearest neighbours (Å) after each atom.
Atoms (fractional coordinates):
Pr 0.0000 0.0000 0.0000  4 H 2.45
Ag 0.2948 0.2948 0.0000  1 H 2.25
H 0.5153 0.5153 0.0000  1 Ag 2.25, 4 Pr 2.45

ii.
The following is a DFT calculation (PBE-GGA) of PrAgH after structural relaxation.

Computed properties:
The value obtained for the calculated volume is 19.29 Å³ per atom. For the density of states at the Fermi level, the calculation gives 0.5559 states/eV per atom. Its total magnetization is 0.40 Bohr magnetons per cell.

a = 5.0000 Å, b = 5.0000 Å, c = 7.4030 Å
α = 90.00°, β = 90.00°, γ = 141.30°
With the nearest neighbours (Å) after each atom.
Atoms (fractional coordinates):
Pr 0.0000 0.0000 0.0000  4 H 2.49
Pr 0.0000 0.0000 0.5000  4 H 2.49
Ag 0.2704 0.7296 0.7500  1 H 2.03
Ag 0.7296 0.2704 0.2500  1 H 2.03
H 0.4858 0.5142 0.7500  1 Ag 2.03
H 0.5142 0.4858 0.2500  1 Ag 2.03

Stability, highest: ii

i.
The following is a DFT calculation (PBE-GGA) of Ag2H2Pt after structural relaxation.

Computed properties:
The value obtained for the calculated volume is 11.72 Å³ per atom. For the density of states at the Fermi level, the calculation gives 0.3700 states/eV per atom. Its total magnetization is 0.00 Bohr magnetons per cell.

a = 6.7029 Å, b = 6.7029 Å, c = 6.7029 Å
α = 153.80°, β = 153.80°, γ = 37.38°
With the nearest neighbours (Å) after each atom.
Atoms (fractional coordinates):
Ag 0.1498 0.1498 0.0000  4 H 1.98
Ag 0.8502 0.8502 0.0000  4 H 1.98
H 0.2500 0.7500 0.5000  4 Ag 1.98, 4 H 2.15
H 0.7500 0.2500 0.5000  4 Ag 1.98, 4 H 2.15
Pt 0.5000 0.5000 0.0000  8 Ag 2.87, 4 Pt 3.04

ii.
The following is a DFT calculation (PBE-GGA) of Ag2H2Pt after structural relaxation.

Computed properties:
The value obtained for the calculated volume is 13.97 Å³ per atom. For the density of states at the Fermi level, the calculation gives 0.1786 states/eV per atom. Its total magnetization is 0.00 Bohr magnetons per cell.

a = 4.7446 Å, b = 4.7446 Å, c = 4.7446 Å
α = 124.41°, β = 124.41°, γ = 82.52°
With the nearest neighbours (Å) after each atom.
Atoms (fractional coordinates):
Ag 0.2500 0.7500 0.5000  4 H 2.21
Ag 0.7500 0.2500 0.5000  4 H 2.21
H 0.2377 0.2377 0.0000  1 Pt 1.70
H 0.7623 0.7623 0.0000  1 Pt 1.70
Pt 0.0000 0.0000 0.0000  2 H 1.70

iii.
The following is a DFT calculation (PBE-GGA) of Ag2H2Pt after structural relaxation.

Computed properties:
The value obtained for the calculated volume is 12.66 Å³ per atom. For the density of states at the Fermi level, the calculation gives 0.1511 states/eV per atom. Its total magnetization is 0.00 Bohr magnetons per cell.

a = 4.3301 Å, b = 5.0273 Å, c = 6.8577 Å
α = 94.72°, β = 106.37°, γ = 114.72°
With the nearest neighbours (Å) after each atom.
Atoms (fractional coordinates):
Ag 0.1029 0.0005 0.2277  2 H 2.16-2.19
Ag 0.2813 0.6480 0.9114  2 H 2.20-2.22
Ag 0.7187 0.3520 0.0886  2 H 2.20-2.22
Ag 0.8971 0.9995 0.7723  2 H 2.16-2.19
H 0.2472 0.4892 0.5065  2 Pt 1.76
H 0.4205 0.0507 0.7759  1 Pt 1.69
H 0.5795 0.9493 0.2241  1 Pt 1.69
H 0.7528 0.5108 0.4935  2 Pt 1.76
Pt 0.4910 0.6638 0.3487  3 H 1.69-1.76
Pt 0.5090 0.3362 0.6513  3 H 1.69-1.76

Stability, highest: iii

i.
The following is a DFT calculation (PBE-GGA) of Ag2HPt2 after structural relaxation.

Computed properties:
The value obtained for the calculated volume is 14.53 Å³ per atom. For the density of states at the Fermi level, the calculation gives 0.3531 states/eV per atom. Its total magnetization is 0.00 Bohr magnetons per cell.

a = 2.7936 Å, b = 2.7936 Å, c = 10.7339 Å
α = 90.20°, β = 90.20°, γ = 60.11°
With the nearest neighbours (Å) after each atom.
Atoms (fractional coordinates):
Ag 0.1670 0.1670 0.1141  9 Ag 2.79-2.93, 3 Pt 2.92-2.93
Ag 0.8330 0.8330 0.8859  9 Ag 2.79-2.93, 3 Pt 2.92-2.93
H 0.5000 0.5000 0.5000  2 Pt 1.70
Pt 0.4998 0.4998 0.3412  1 H 1.70
Pt 0.5002 0.5002 0.6588  1 H 1.70

ii.
The following is a DFT calculation (PBE-GGA) of Ag2HPt2 after structural relaxation.

Computed properties:
The value obtained for the calculated volume is 14.61 Å³ per atom. For the density of states at the Fermi level, the calculation gives 0.4163 states/eV per atom. Its total magnetization is 0.00 Bohr magnetons per cell.

a = 5.3885 Å, b = 5.3885 Å, c = 5.0302 Å
α = 90.00°, β = 90.00°, γ = 90.00°
With the nearest neighbours (Å) after each atom.
Atoms (fractional coordinates):
Ag 0.1755 0.3245 0.0000  5 Ag 2.68-2.81, 2 Pt 2.75
Ag 0.3245 0.8245 0.0000  5 Ag 2.68-2.81, 2 Pt 2.75
Ag 0.6755 0.1755 0.0000  5 Ag 2.68-2.81, 2 Pt 2.75
Ag 0.8245 0.6755 0.0000  5 Ag 2.68-2.81, 2 Pt 2.75
H 0.0000 0.0000 0.5000  4 Pt 1.98
H 0.5000 0.5000 0.5000  4 Pt 1.98
Pt 0.1777 0.6777 0.5000  2 H 1.98
Pt 0.3223 0.1777 0.5000  2 H 1.98
Pt 0.6777 0.8223 0.5000  2 H 1.98
Pt 0.8223 0.3223 0.5000  2 H 1.98

Stability, highest: i

i.
The following is a DFT calculation (PBE-GGA) of AgH3Pt after structural relaxation.

Computed properties:
The value obtained for the calculated volume is 10.61 Å³ per atom. For the density of states at the Fermi level, the calculation gives 0.1560 states/eV per atom. Its total magnetization is 0.00 Bohr magnetons per cell.

a = 7.4152 Å, b = 7.4152 Å, c = 5.1069 Å
α = 90.00°, β = 90.00°, γ = 157.79°
With the nearest neighbours (Å) after each atom.
Atoms (fractional coordinates):
Ag 0.0599 0.9401 0.7500  4 H 2.10
Ag 0.9401 0.0599 0.2500  4 H 2.10
H 0.1874 0.8126 0.2500  2 Pt 1.75
H 0.3556 0.6444 0.0663  1 Pt 1.66
H 0.3556 0.6444 0.4337  1 Pt 1.66
H 0.6444 0.3556 0.5663  1 Pt 1.66
H 0.6444 0.3556 0.9337  1 Pt 1.66
H 0.8126 0.1874 0.7500  2 Pt 1.75
Pt 0.3816 0.6184 0.7500  4 H 1.66-1.75
Pt 0.6184 0.3816 0.2500  4 H 1.66-1.75

ii.
The following is a DFT calculation (PBE-GGA) of AgH3Pt after structural relaxation.

Computed properties:
The value obtained for the calculated volume is 9.24 Å³ per atom. For the density of states at the Fermi level, the calculation gives 0.2092 states/eV per atom. Its total magnetization is 0.00 Bohr magnetons per cell.

a = 3.5878 Å, b = 3.5878 Å, c = 3.5878 Å
α = 90.00°, β = 90.00°, γ = 90.00°
With the nearest neighbours (Å) after each atom.
Atoms (fractional coordinates):
Ag 0.0000 0.0000 0.0000  6 H 1.79
H 0.0000 0.0000 0.5000  2 Ag 1.79
H 0.0000 0.5000 0.0000  2 Ag 1.79
H 0.5000 0.0000 0.0000  2 Ag 1.79
Pt 0.5000 0.5000 0.5000  12 H 2.54

iii.
The following is a DFT calculation (PBE-GGA) of AgH3Pt after structural relaxation.

Computed properties:
The value obtained for the calculated volume is 9.32 Å³ per atom. For the density of states at the Fermi level, the calculation gives 0.1205 states/eV per atom. Its total magnetization is 0.00 Bohr magnetons per cell.

a = 3.5982 Å, b = 3.5982 Å, c = 3.5982 Å
α = 90.00°, β = 90.00°, γ = 90.00°
With the nearest neighbours (Å) after each atom.
Atoms (fractional coordinates):
Ag 0.0000 0.0000 0.0000  12 H 2.54
H 0.0000 0.5000 0.5000  2 Pt 1.80
H 0.5000 0.0000 0.5000  2 Pt 1.80
H 0.5000 0.5000 0.0000  2 Pt 1.80
Pt 0.5000 0.5000 0.5000  6 H 1.80

iv.
The following is a DFT calculation (PBE-GGA) of AgH3Pt after structural relaxation.

Computed properties:
The value obtained for the calculated volume is 9.34 Å³ per atom. For the density of states at the Fermi level, the calculation gives 0.0532 states/eV per atom. Its total magnetization is 0.00 Bohr magnetons per cell.

a = 6.8078 Å, b = 4.3989 Å, c = 7.0295 Å
α = 90.00°, β = 117.41°, γ = 90.00°
With the nearest neighbours (Å) after each atom.
Atoms (fractional coordinates):
Ag 0.0855 0.2472 0.1608  3 H 1.99-2.17
Ag 0.0855 0.2528 0.6608  3 H 1.99-2.17
Ag 0.9145 0.7472 0.3392  3 H 1.99-2.17
Ag 0.9145 0.7528 0.8392  3 H 1.99-2.17
H 0.1243 0.6972 0.1684  1 Pt 1.77
H 0.1243 0.8028 0.6684  1 Pt 1.77
H 0.3403 0.0691 0.4619  2 Pt 1.77-1.79
H 0.3403 0.4309 0.9619  2 Pt 1.77-1.79
H 0.4039 0.5757 0.6005  3 Pt 1.86-1.98
H 0.4039 0.9243 0.1005  3 Pt 1.86-1.98
H 0.5961 0.0757 0.8995  3 Pt 1.86-1.98
H 0.5961 0.4243 0.3995  3 Pt 1.86-1.98
H 0.6597 0.5691 0.0381  2 Pt 1.77-1.79
H 0.6597 0.9309 0.5381  2 Pt 1.77-1.79
H 0.8757 0.1972 0.3316  1 Pt 1.77
H 0.8757 0.3028 0.8316  1 Pt 1.77
Pt 0.4083 0.7434 0.8450  6 H 1.77-1.98
Pt 0.4083 0.7566 0.3450  6 H 1.77-1.98
Pt 0.5917 0.2434 0.6550  6 H 1.77-1.98
Pt 0.5917 0.2566 0.1550  6 H 1.77-1.98

Stability, highest: iii

i.
The following is a DFT calculation (PBE-GGA) of Ag3H4Pt2 after structural relaxation.

Computed properties:
The value obtained for the calculated volume is 11.30 Å³ per atom. For the density of states at the Fermi level, the calculation gives 0.0910 states/eV per atom. Its total magnetization is 0.00 Bohr magnetons per cell.

a = 5.1121 Å, b = 5.1121 Å, c = 7.7572 Å
α = 108.12°, β = 108.12°, γ = 32.01°
With the nearest neighbours (Å) after each atom.
Atoms (fractional coordinates):
Ag 0.0000 0.0000 0.0000  4 H 2.30
Ag 0.3813 0.3813 0.6090  3 H 2.29-2.42
Ag 0.6187 0.6187 0.3910  3 H 2.29-2.42
H 0.0755 0.0755 0.6957  2 Pt 1.80
H 0.3072 0.3072 0.8780  2 Pt 1.81
H 0.6928 0.6928 0.1220  2 Pt 1.81
H 0.9245 0.9245 0.3043  2 Pt 1.80
Pt 0.3094 0.3094 0.2127  4 H 1.80-1.81
Pt 0.6906 0.6906 0.7873  4 H 1.80-1.81

ii.
The following is a DFT calculation (PBE-GGA) of Ag3H4Pt2 after structural relaxation.

Computed properties:
The value obtained for the calculated volume is 12.91 Å³ per atom. For the density of states at the Fermi level, the calculation gives 0.2087 states/eV per atom. Its total magnetization is 0.00 Bohr magnetons per cell.

a = 7.4361 Å, b = 7.4361 Å, c = 5.8068 Å
α = 107.40°, β = 107.40°, γ = 22.34°
With the nearest neighbours (Å) after each atom.
Atoms (fractional coordinates):
Ag 0.0000 0.0000 0.0000  4 H 2.04
Ag 0.3227 0.3227 0.1912  1 H 1.91
Ag 0.6773 0.6773 0.8088  1 H 1.91
H 0.1119 0.1119 0.3920  2 Pt 1.78
H 0.3978 0.3978 0.9729  1 Pt 1.72, 1 Ag 1.91
H 0.6022 0.6022 0.0271  1 Pt 1.72, 1 Ag 1.91
H 0.8881 0.8881 0.6080  2 Pt 1.78
Pt 0.3290 0.3290 0.6731  3 H 1.72-1.78
Pt 0.6710 0.6710 0.3269  3 H 1.72-1.78

Stability, highest: i